1.
{"formula": "MgBeF", "functional": "PBE-GGA", "state": "relaxed", "lattice": [[-2.1318, 1.2073, 3.1823], [-0.8180, -3.7516, 0.8753], [4.8489, -0.5964, 1.9753]], "species": ["Be", "Be", "Mg", "Mg", "F", "F"], "fractional_positions": [[0.5412, 0.8110, 0.0992], [0.4588, 0.3110, 0.9008], [0.9398, 0.8133, 0.7747], [0.0602, 0.3133, 0.2253], [0.7860, 0.7066, 0.3877], [0.2140, 0.2066, 0.6123]], "total_magnetization_mub_per_cell": 0.0, "formation_energy_uncorrected_ev_per_atom": -1.286}

***

2.
{"formula": "Sc2TaGe2", "functional": "PBE-GGA", "state": "relaxed", "lattice": [[3.8925, 0.0000, 0.0000], [0.0000, 3.8925, 0.0000], [1.9462, 1.9462, 6.1400]], "species": ["Sc", "Sc", "Ge", "Ge", "Ta"], "fractional_positions": [[0.7500, 0.2500, 0.5000], [0.2500, 0.7500, 0.5000], [0.4038, 0.4038, 0.1924], [0.5962, 0.5962, 0.8076], [0.0000, 0.0000, 0.0000]], "total_magnetization_mub_per_cell": 0.8, "delta_e_f_mev_per_atom": -67}

***

3.
{"formula": "LiAcRhAu", "functional": "PBE-GGA", "state": "relaxed", "lattice": [[5.0292, 0.0000, 0.0000], [2.5146, 4.3554, 0.0000], [2.5146, 1.4518, 4.1063]], "species": ["Rh", "Ac", "Li", "Au"], "fractional_positions": [[0.2500, 0.2500, 0.2500], [0.5000, 0.5000, 0.5000], [0.0000, 0.0000, 0.0000], [0.7500, 0.7500, 0.7500]], "total_magnetization_mub_per_cell": 0.0, "delta_e_f_mev_per_atom": -404}

***

4.
{"formula": "NdTm2Pu", "functional": "PBE-GGA", "state": "relaxed", "lattice": [[-2.1813, 0.9665, -2.4365], [0.7404, -0.5775, -3.2783], [-6.0333, -10.7383, -1.2448]], "species": ["Tm", "Tm", "Nd", "Pu"], "fractional_positions": [[0.9081, 0.9081, 0.2758], [0.0919, 0.0919, 0.7242], [0.0000, 0.0000, 0.0000], [0.5000, 0.5000, 0.5000]], "total_magnetization_mub_per_cell": 5.6, "delta_e_f_mev_per_atom": 236}

***

5.
{"formula": "Ca2AsBr2", "functional": "PBE-GGA", "state": "relaxed", "lattice": [[8.6427, 0.0000, 0.0000], [0.0000, 8.6427, 0.0000], [0.0000, 0.0000, 3.5728]], "species": ["Ca", "Ca", "Ca", "Ca", "As", "As", "Br", "Br", "Br", "Br"], "fractional_positions": [[0.6838, 0.8162, 0.5000], [0.8162, 0.3162, 0.5000], [0.1838, 0.6838, 0.5000], [0.3162, 0.1838, 0.5000], [0.5000, 0.5000, 0.0000], [0.0000, 0.0000, 0.0000], [0.3747, 0.8747, 0.0000], [0.1253, 0.3747, 0.0000], [0.6253, 0.1253, 0.0000], [0.8747, 0.6253, 0.0000]], "total_magnetization_mub_per_cell": 0.0, "formation_energy_uncorrected_ev_per_atom": -1.018}

***

6.
{"formula": "KCoCl4", "functional": "PBE-GGA", "state": "relaxed", "lattice": [[-4.9185, -2.5163, -6.0143], [5.1439, -5.2608, 3.5433], [-4.8554, -5.5434, 3.5198]], "species": ["K", "K", "Cl", "Cl", "Cl", "Cl", "Cl", "Cl", "Cl", "Cl", "Co", "Co"], "fractional_positions": [[0.1250, 0.3750, 0.7500], [0.8750, 0.6250, 0.2500], [0.7847, 0.8596, 0.9250], [0.3597, 0.2846, 0.4250], [0.2154, 0.1404, 0.0750], [0.6403, 0.7153, 0.5750], [0.7847, 0.2097, 0.5750], [0.2903, 0.7154, 0.9250], [0.7097, 0.2846, 0.0750], [0.2153, 0.7903, 0.4250], [0.3750, 0.1250, 0.2500], [0.6250, 0.8750, 0.7500]], "total_magnetization_mub_per_cell": 8.0, "formation_energy_uncorrected_ev_per_atom": -1.020}

***

7.
{"formula": "CaRe4Se7", "functional": "PBE-GGA", "state": "relaxed", "lattice": [[6.3519, 0.7622, 0.0000], [0.6915, 4.9929, 0.0000], [0.0000, 0.0000, 16.7959]], "species": ["Ca", "Ca", "Se", "Se", "Se", "Se", "Se", "Se", "Se", "Se", "Se", "Se", "Se", "Se", "Se", "Se", "Re", "Re", "Re", "Re", "Re", "Re", "Re", "Re"], "fractional_positions": [[0.4266, 0.7084, 0.5000], [0.9290, 0.1680, 0.0000], [0.5519, 0.7144, 0.0000], [0.5597, 0.1973, 0.1206], [0.4919, 0.2002, 0.4045], [0.5596, 0.1973, 0.8794], [0.0766, 0.6312, 0.0929], [0.0308, 0.8785, 0.6164], [0.0766, 0.6312, 0.9071], [0.9300, 0.4110, 0.5000], [0.4060, 0.8314, 0.7635], [0.8542, 0.2629, 0.7458], [0.0308, 0.8785, 0.3836], [0.4060, 0.8314, 0.2365], [0.4919, 0.2002, 0.5955], [0.8542, 0.2630, 0.2542], [0.0478, 0.6841, 0.2422], [0.7230, 0.6122, 0.8551], [0.0478, 0.6841, 0.7578], [0.7230, 0.6122, 0.1449], [0.4362, 0.3356, 0.7379], [0.1099, 0.3657, 0.3589], [0.1099, 0.3657, 0.6411], [0.4362, 0.3356, 0.2621]], "total_magnetization_mub_per_cell": 0.0, "formation_energy_uncorrected_ev_per_atom": -0.100}

***

8.
{"formula": "MnTeP2", "functional": "PBE-GGA", "state": "relaxed", "lattice": [[-3.3505, 4.4802, 1.2266], [-0.7065, -1.9863, 5.3252], [2.2057, 3.9804, 4.8572]], "species": ["Mn", "Mn", "P", "P", "P", "P", "Te", "Te"], "fractional_positions": [[0.2500, 0.7500, 0.5000], [0.5000, 0.5000, 0.0000], [0.3750, 0.4629, 0.7500], [0.2129, 0.6250, 0.2500], [0.8750, 0.7871, 0.7500], [0.5371, 0.1250, 0.2500], [0.7500, 0.2500, 0.5000], [0.0000, 0.0000, 0.0000]], "total_magnetization_mub_per_cell": 1.7, "formation_energy_uncorrected_ev_per_atom": 0.240}

***

9.
{"formula": "Ac2YHg4", "functional": "PBE-GGA", "state": "relaxed", "lattice": [[-3.3177, -3.6840, 1.1536], [0.2378, -2.3128, 4.5282], [-7.5233, 5.0928, 5.8572]], "species": ["Hg", "Hg", "Hg", "Hg", "Ac", "Ac", "Y"], "fractional_positions": [[0.6366, 0.6366, 0.0903], [0.8606, 0.8606, 0.4182], [0.1394, 0.1394, 0.5818], [0.3634, 0.3634, 0.9097], [0.7537, 0.7537, 0.7390], [0.2463, 0.2463, 0.2610], [0.0000, 0.0000, 0.0000]], "total_magnetization_mub_per_cell": 0.0, "delta_e_f_mev_per_atom": -368}

***

10.
{"formula": "CaZrAs", "functional": "PBE-GGA", "state": "relaxed", "lattice": [[-3.6755, 0.8370, -0.9063], [1.0274, -0.4491, 3.7113], [1.3027, 6.1331, 0.3815]], "species": ["Ca", "As", "Zr"], "fractional_positions": [[0.6667, 0.3333, 0.2783], [0.0000, 0.0000, 0.9728], [0.3333, 0.6667, 0.7489]], "total_magnetization_mub_per_cell": 0.0, "delta_e_f_mev_per_atom": -551}

***

11.
{"formula": "Ti5ZnSb4", "functional": "PBE-GGA", "state": "relaxed", "lattice": [[-0.5481, -1.3020, 4.7782], [9.6298, -0.3732, 1.0030], [0.0837, 8.1616, 2.2336]], "species": ["Zn", "Zn", "Ti", "Ti", "Ti", "Ti", "Ti", "Ti", "Ti", "Ti", "Ti", "Ti", "Sb", "Sb", "Sb", "Sb", "Sb", "Sb", "Sb", "Sb"], "fractional_positions": [[0.6707, 0.0000, 0.0000], [0.3293, 0.5000, 0.5000], [0.5073, 0.5000, 0.0000], [0.7521, 0.2336, 0.1725], [0.7521, 0.7664, 0.8275], [0.7521, 0.2336, 0.8275], [0.2479, 0.7336, 0.3275], [0.2479, 0.2664, 0.3275], [0.2479, 0.2664, 0.6725], [0.2479, 0.7336, 0.6725], [0.4927, 0.0000, 0.5000], [0.7521, 0.7664, 0.1725], [0.0083, 0.0000, 0.6835], [0.7316, 0.2830, 0.5000], [0.7316, 0.7170, 0.5000], [0.2684, 0.2170, 0.0000], [0.9917, 0.5000, 0.8165], [0.2684, 0.7830, 0.0000], [0.9917, 0.5000, 0.1835], [0.0083, 0.0000, 0.3165]], "total_magnetization_mub_per_cell": 0.0, "formation_energy_uncorrected_ev_per_atom": -0.230}

***

12.
{"formula": "Li3LaTa", "functional": "PBE-GGA", "state": "relaxed", "lattice": [[5.0656, 0.0000, 0.0000], [0.0000, 5.0656, 0.0000], [0.0000, 0.0000, 5.0656]], "species": ["Ta", "Li", "Li", "Li", "La"], "fractional_positions": [[0.0000, 0.0000, 0.0000], [0.5000, 0.0000, 0.0000], [0.0000, 0.5000, 0.0000], [0.0000, 0.0000, 0.5000], [0.5000, 0.5000, 0.5000]], "total_magnetization_mub_per_cell": 4.6, "delta_e_f_mev_per_atom": 1093}

***

13.
{"formula": "Cr3Tc5", "functional": "PBE-GGA", "state": "relaxed", "lattice": [[-4.6460, 5.1242, -1.8460], [-6.6975, -1.7345, -1.8398], [-1.4185, 0.4286, 4.7597]], "species": ["Cr", "Cr", "Cr", "Cr", "Cr", "Cr", "Tc", "Tc", "Tc", "Tc", "Tc", "Tc", "Tc", "Tc", "Tc", "Tc"], "fractional_positions": [[0.0000, 0.4124, 0.2500], [0.5876, 0.4125, 0.7500], [0.0000, 0.5875, 0.7500], [0.4125, 0.5875, 0.2500], [0.4125, 0.0000, 0.7500], [0.5875, 0.0000, 0.2500], [0.0000, 0.7637, 0.2500], [0.7637, 0.2363, 0.2500], [0.3333, 0.3333, 0.5000], [0.3333, 0.3333, 0.0000], [0.6667, 0.6667, 0.5000], [0.6667, 0.6667, 0.0000], [0.0000, 0.2363, 0.7500], [0.7637, 0.0000, 0.7500], [0.2363, 0.7637, 0.7500], [0.2363, 0.0000, 0.2500]], "total_magnetization_mub_per_cell": 0.0, "delta_e_f_mev_per_atom": 177}

***

14.
{"formula": "CsHfC3", "functional": "PBE-GGA", "state": "relaxed", "lattice": [[-2.1797, 2.5628, 3.0408], [2.6409, -1.6598, 3.2918], [2.9733, 3.3530, -0.6946]], "species": ["Hf", "C", "C", "C", "Cs"], "fractional_positions": [[0.0000, 0.0000, 0.0000], [0.0000, 0.0000, 0.5000], [0.0000, 0.5000, 0.0000], [0.5000, 0.0000, 0.0000], [0.5000, 0.5000, 0.5000]], "total_magnetization_mub_per_cell": 0.0, "delta_e_f_mev_per_atom": 1790}

***

15.
{"formula": "TlHg2I", "functional": "PBE-GGA", "state": "relaxed", "lattice": [[-2.1677, -2.7172, 0.7360], [1.0248, -3.3296, -0.6982], [4.5983, -2.8850, 11.4675]], "species": ["Hg", "Hg", "Tl", "I"], "fractional_positions": [[0.0852, 0.0852, 0.7443], [0.9148, 0.9148, 0.2557], [0.0000, 0.0000, 0.0000], [0.5000, 0.5000, 0.5000]], "total_magnetization_mub_per_cell": 0.0, "formation_energy_uncorrected_ev_per_atom": 0.054}

***

16.
{"formula": "LiNbAu2Se", "functional": "PBE-GGA", "state": "relaxed", "lattice": [[-3.6041, -2.8459, 2.5436], [-2.2594, -0.9548, -4.2697], [2.9609, -4.2922, -0.6069]], "species": ["Au", "Au", "Nb", "Li", "Se"], "fractional_positions": [[0.0000, 0.0000, 0.5000], [0.5000, 0.0000, 0.0000], [0.0000, 0.0000, 0.0000], [0.5000, 0.5000, 0.5000], [0.0000, 0.5000, 0.0000]], "total_magnetization_mub_per_cell": 0.0, "formation_energy_uncorrected_ev_per_atom": 0.089}

***

17.
{"formula": "Ga4Rh", "functional": "PBE-GGA", "state": "relaxed", "lattice": [[-1.7264, -3.0321, 3.6478], [-1.7401, -3.2064, -3.4887], [5.7465, -3.1915, 0.0669]], "species": ["Rh", "Rh", "Ga", "Ga", "Ga", "Ga", "Ga", "Ga", "Ga", "Ga"], "fractional_positions": [[0.0000, 0.0000, 0.0000], [0.5000, 0.5000, 0.5000], [0.8928, 0.7445, 0.3412], [0.6072, 0.2445, 0.1588], [0.3928, 0.7555, 0.1588], [0.2445, 0.3928, 0.8412], [0.1072, 0.2555, 0.3412], [0.7555, 0.6072, 0.8412], [0.2555, 0.8928, 0.6588], [0.7445, 0.1072, 0.6588]], "total_magnetization_mub_per_cell": 0.0, "delta_e_f_mev_per_atom": -302}

***

18.
{"formula": "GeMo3Au", "functional": "PBE-GGA", "state": "relaxed", "lattice": [[4.5929, 0.0000, 0.0000], [0.0000, 4.5929, 0.0000], [0.0000, 0.0000, 4.5929]], "species": ["Mo", "Mo", "Mo", "Ge", "Au"], "fractional_positions": [[0.0000, 0.5000, 0.0000], [0.0000, 0.0000, 0.5000], [0.5000, 0.0000, 0.0000], [0.0000, 0.0000, 0.0000], [0.5000, 0.5000, 0.5000]], "total_magnetization_mub_per_cell": 0.0, "delta_e_f_mev_per_atom": 1336}

***

19.
{"formula": "CuPb2", "functional": "PBE-GGA", "state": "relaxed", "lattice": [[-0.0603, 1.0002, 3.5002], [1.2029, -3.3088, -0.9273], [6.1877, 2.4129, -0.5830]], "species": ["Pb", "Pb", "Cu"], "fractional_positions": [[0.3333, 0.6667, 0.2837], [0.6667, 0.3333, 0.7163], [0.0000, 0.0000, 0.0000]], "total_magnetization_mub_per_cell": 0.0, "delta_e_f_mev_per_atom": 185}

***

20.
{"formula": "InCuAgO2", "functional": "PBE-GGA", "state": "relaxed", "lattice": [[-3.0207, -0.3512, 2.6405], [3.4216, -3.0417, 3.5097], [1.1786, 3.4040, 1.8011]], "species": ["O", "O", "Ag", "In", "Cu"], "fractional_positions": [[0.5000, 0.0000, 0.0000], [0.0000, 0.0000, 0.5000], [0.0000, 0.5000, 0.0000], [0.0000, 0.0000, 0.0000], [0.5000, 0.5000, 0.5000]], "total_magnetization_mub_per_cell": 0.0, "formation_energy_uncorrected_ev_per_atom": 0.192}

***

21.
{"formula": "Li2GeHPd6", "functional": "PBE-GGA", "state": "relaxed", "lattice": [[6.0682, 0.0080, 0.2265], [0.0077, 6.0800, 0.2324], [3.1985, 3.2090, 4.5278]], "species": ["Li", "Li", "H", "Pd", "Pd", "Pd", "Pd", "Pd", "Pd", "Ge"], "fractional_positions": [[0.2609, 0.7391, 0.4999], [0.7391, 0.2609, 0.5001], [0.5000, 0.5000, 0.0000], [0.7445, 0.7440, 0.9712], [0.7292, 0.2709, 0.0003], [0.2708, 0.7291, 0.9997], [0.2554, 0.2560, 0.0288], [0.7426, 0.7429, 0.5408], [0.2574, 0.2571, 0.4592], [0.0000, 0.0000, 0.0000]], "total_magnetization_mub_per_cell": 0.0, "energy_ev_per_cell": -45.59}

***

22.
{"formula": "NpNb2Se", "functional": "PBE-GGA", "state": "relaxed", "lattice": [[3.0626, 0.0000, 0.0000], [1.5313, 2.6523, 0.0000], [1.5313, 0.8841, 9.7296]], "species": ["Se", "Nb", "Nb", "Np"], "fractional_positions": [[0.5000, 0.5000, 0.5000], [0.0977, 0.0977, 0.7069], [0.9023, 0.9023, 0.2931], [0.0000, 0.0000, 0.0000]], "total_magnetization_mub_per_cell": 3.4, "formation_energy_uncorrected_ev_per_atom": 0.339}

***

23.
{"formula": "NaScAs", "functional": "PBE-GGA", "state": "relaxed", "lattice": [[4.5654, 0.0000, 0.3669], [0.0000, 4.5800, 0.0000], [-0.5772, 0.0000, 7.0842]], "species": ["Sc", "Sc", "Na", "Na", "As", "As"], "fractional_positions": [[0.7501, 0.7500, 0.5000], [0.2499, 0.2500, 0.5000], [0.7500, 0.2500, 0.8711], [0.2500, 0.7500, 0.1289], [0.2505, 0.7500, 0.7080], [0.7495, 0.2500, 0.2920]], "total_magnetization_mub_per_cell": 0.0, "delta_e_f_mev_per_atom": -755}

***

24.
{"formula": "HfScTiRe", "functional": "PBE-GGA", "state": "relaxed", "lattice": [[4.6870, 0.0000, 0.0000], [2.3435, 4.0591, 0.0000], [2.3435, 1.3530, 3.8269]], "species": ["Hf", "Ti", "Sc", "Re"], "fractional_positions": [[0.7500, 0.7500, 0.7500], [0.2500, 0.2500, 0.2500], [0.5000, 0.5000, 0.5000], [0.0000, 0.0000, 0.0000]], "total_magnetization_mub_per_cell": 0.0, "delta_e_f_mev_per_atom": -76}

***

25.
{"formula": "CdFeMoPb2", "functional": "PBE-GGA", "state": "relaxed", "lattice": [[-4.0390, 2.9749, -1.0084], [-2.8112, -3.4481, 1.0876], [-0.0528, 1.5781, 4.8669]], "species": ["Fe", "Mo", "Cd", "Pb", "Pb"], "fractional_positions": [[0.0000, 0.0000, 0.0000], [0.0000, 0.5000, 0.0000], [0.5000, 0.5000, 0.5000], [0.0000, 0.0000, 0.5000], [0.5000, 0.0000, 0.0000]], "total_magnetization_mub_per_cell": 2.2, "delta_e_f_mev_per_atom": 819}